No. 1
## BaMg2CdAu (PBE-GGA)

Data for a relaxed structure of BaMg2CdAu.

a = 5.230 Å, b = 5.230 Å, c = 5.412 Å
α = 90.00°, β = 90.00°, γ = 90.00°
Element x y z (fractional)
Ba: 0.000 0.000 0.000
Mg: 0.000 0.500 0.500
Mg: 0.500 0.000 0.500
Cd: 0.500 0.500 0.000
Au: 0.500 0.500 0.500

Calculated formation energy in eV/atom: -0.28
Raw total energy in hartree per atom: -0.07854
Spin magnetization in μB/f.u.: 0.0
Crystal system: tetragonal

No. 2
## SnAs2SF (PBE-GGA)

Data for a relaxed structure of SnAs2SF.

a = 4.343 Å, b = 4.343 Å, c = 5.878 Å
α = 90.00°, β = 90.00°, γ = 90.00°
Element x y z (fractional)
Sn: 0.000 0.000 0.000
As: 0.000 0.500 0.500
As: 0.500 0.000 0.500
S: 0.500 0.500 0.000
F: 0.000 0.000 0.500

Raw total energy in hartree per atom: -0.13094
Energy relative to the elements, uncorrected in eV/atom: 0.30
Spin magnetization in μB/f.u.: 0.0
Crystal system: tetragonal

No. 3
## Zr2AlZn (PBE-GGA)

Data for a relaxed structure of Zr2AlZn.

a = 5.687 Å, b = 5.687 Å, c = 5.687 Å
α = 147.11°, β = 129.26°, γ = 61.80°
Element x y z (fractional)
Zr: 0.000 0.000 0.000
Zr: 0.731 0.231 0.500
Al: 0.463 0.463 0.000
Zn: 0.253 0.753 0.500

Calculated formation energy in eV/atom: -0.32
Raw total energy in hartree per atom: -0.21477
Spin magnetization in μB/f.u.: 0.0
Crystal system: orthorhombic

No. 4
## DyBePt2 (PBE-GGA)

Data for a relaxed structure of DyBePt2.

a = 5.495 Å, b = 5.495 Å, c = 5.495 Å
α = 43.56°, β = 43.56°, γ = 43.56°
Element x y z (fractional)
Dy: 0.000 0.000 0.000
Be: 0.500 0.500 0.500
Pt: 0.213 0.213 0.213
Pt: 0.787 0.787 0.787

Calculated formation energy in eV/atom: -0.90
Raw total energy in hartree per atom: -0.22068
Polymorph energy (0 for the lowest one) in eV per atom: 0.079
Spin magnetization in μB/f.u.: 0.0
Crystal system: trigonal

No. 5
## TbHo2Hg (PBE-GGA)

Data for a relaxed structure of TbHo2Hg.

a = 4.802 Å, b = 4.802 Å, c = 4.782 Å
α = 90.00°, β = 90.00°, γ = 90.00°
Element x y z (fractional)
Tb: 0.000 0.000 0.000
Ho: 0.000 0.500 0.500
Ho: 0.500 0.000 0.500
Hg: 0.500 0.500 0.000

Calculated formation energy in eV/atom: -0.15
Raw total energy in hartree per atom: -0.13511
Polymorph energy (0 for the lowest one) in eV per atom: 0.081
Spin magnetization in μB/f.u.: 0.5
Crystal system: tetragonal

No. 6
## Rb3NpCd2O6 (PBE-GGA)

Data for a relaxed structure of Rb3NpCd2O6.

a = 6.401 Å, b = 6.401 Å, c = 6.629 Å
α = 95.91°, β = 95.91°, γ = 124.42°
Element x y z (fractional)
Rb: 0.000 0.000 0.000
Rb: 0.321 0.679 0.000
Rb: 0.679 0.321 0.000
Np: 0.500 0.500 0.500
Cd: 0.189 0.811 0.500
Cd: 0.811 0.189 0.500
O: 0.116 0.413 0.327
O: 0.326 0.326 0.722
O: 0.413 0.116 0.327
O: 0.587 0.884 0.673
O: 0.674 0.674 0.278
O: 0.884 0.587 0.673

Raw total energy in hartree per atom: -0.20894
Energy relative to the elements, uncorrected in eV/atom: -1.73
Spin magnetization in μB/f.u.: 2.0
Crystal system: monoclinic

No. 7
## SrSn2Pd3 (PBE-GGA)

Data for a relaxed structure of SrSn2Pd3.

a = 8.754 Å, b = 8.754 Å, c = 7.887 Å
α = 115.74°, β = 115.74°, γ = 31.20°
Element x y z (fractional)
Sr: 0.162 0.162 0.106
Sr: 0.838 0.838 0.894
Sn: 0.159 0.159 0.601
Sn: 0.481 0.481 0.798
Sn: 0.519 0.519 0.202
Sn: 0.841 0.841 0.399
Pd: 0.013 0.013 0.687
Pd: 0.307 0.307 0.552
Pd: 0.384 0.384 0.296
Pd: 0.616 0.616 0.704
Pd: 0.693 0.693 0.448
Pd: 0.987 0.987 0.313

Calculated formation energy in eV/atom: -0.62
Raw total energy in hartree per atom: -0.17736
Spin magnetization in μB/f.u.: 0.0
Crystal system: monoclinic

No. 8
## Hf2ZnIn (PBE-GGA)

Data for a relaxed structure of Hf2ZnIn.

a = 4.843 Å, b = 4.843 Å, c = 4.843 Å
α = 60.00°, β = 60.00°, γ = 60.00°
Element x y z (fractional)
Hf: 0.250 0.250 0.250
Hf: 0.750 0.750 0.750
Zn: 0.000 0.000 0.000
In: 0.500 0.500 0.500

Calculated formation energy in eV/atom: -0.04
Raw total energy in hartree per atom: -0.22125
Spin magnetization in μB/f.u.: 0.0
Crystal system: cubic

No. 9
## CoCuGe2Se6 (PBE-GGA)

Data for a relaxed structure of CoCuGe2Se6.

a = 8.371 Å, b = 8.371 Å, c = 6.482 Å
α = 97.82°, β = 97.82°, γ = 84.47°
Element x y z (fractional)
Co: 0.087 0.913 0.750
Co: 0.913 0.087 0.250
Cu: 0.252 0.748 0.250
Cu: 0.748 0.252 0.750
Ge: 0.212 0.403 0.701
Ge: 0.403 0.212 0.201
Ge: 0.597 0.788 0.799
Ge: 0.788 0.597 0.299
Se: 0.018 0.174 0.609
Se: 0.106 0.658 0.893
Se: 0.174 0.018 0.109
Se: 0.292 0.467 0.377
Se: 0.342 0.894 0.607
Se: 0.467 0.292 0.877
Se: 0.533 0.708 0.123
Se: 0.658 0.106 0.393
Se: 0.708 0.533 0.623
Se: 0.826 0.982 0.891
Se: 0.894 0.342 0.107
Se: 0.982 0.826 0.391

Raw total energy in hartree per atom: -0.15723
Energy relative to the elements, uncorrected in eV/atom: -0.14
Spin magnetization in μB/f.u.: 0.0
Crystal system: monoclinic

No. 10
## CaLa2MgPt (PBE-GGA)

Data for a relaxed structure of CaLa2MgPt.

a = 5.707 Å, b = 5.707 Å, c = 5.280 Å
α = 90.00°, β = 90.00°, γ = 90.00°
Element x y z (fractional)
Ca: 0.000 0.000 0.000
La: 0.000 0.500 0.500
La: 0.500 0.000 0.500
Mg: 0.500 0.500 0.000
Pt: 0.500 0.500 0.500

Calculated formation energy in eV/atom: -0.42
Raw total energy in hartree per atom: -0.15884
Polymorph energy (0 for the lowest one) in eV per atom: 0.000
Spin magnetization in μB/f.u.: 0.0
Crystal system: tetragonal

No. 11
## ZrAgCl2 (PBE-GGA)

Data for a relaxed structure of ZrAgCl2.

a = 3.236 Å, b = 4.381 Å, c = 5.706 Å
α = 90.00°, β = 90.00°, γ = 90.00°
Element x y z (fractional)
Zr: 0.000 0.000 0.000
Ag: 0.500 0.000 0.500
Cl: 0.000 0.500 0.500
Cl: 0.500 0.500 0.000

Raw total energy in hartree per atom: -0.15054
Polymorph energy (0 for the lowest one) in eV per atom: 0.600
Energy relative to the elements, uncorrected in eV/atom: -0.32
Spin magnetization in μB/f.u.: 0.0
Crystal system: orthorhombic

No. 12
## NdYHo6Tm2 (PBE-GGA)

Data for a relaxed structure of NdYHo6Tm2.

a = 8.751 Å, b = 8.751 Å, c = 9.468 Å
α = 93.39°, β = 93.39°, γ = 117.70°
Element x y z (fractional)
Nd: 0.027 0.973 0.750
Nd: 0.973 0.027 0.250
Y: 0.410 0.590 0.250
Y: 0.590 0.410 0.750
Ho: 0.019 0.564 0.681
Ho: 0.122 0.752 0.057
Ho: 0.248 0.878 0.443
Ho: 0.291 0.510 0.882
Ho: 0.436 0.981 0.819
Ho: 0.490 0.709 0.618
Ho: 0.510 0.291 0.382
Ho: 0.564 0.019 0.181
Ho: 0.709 0.490 0.118
Ho: 0.752 0.122 0.557
Ho: 0.878 0.248 0.943
Ho: 0.981 0.436 0.319
Tm: 0.199 0.305 0.547
Tm: 0.305 0.199 0.047
Tm: 0.695 0.801 0.953
Tm: 0.801 0.695 0.453

Calculated formation energy in eV/atom: 0.12
Raw total energy in hartree per atom: -0.17066
Spin magnetization in μB/f.u.: 0.0
Crystal system: monoclinic